## A
An optimized crystal structure of Si2PSe, computed with PBE.

```
Si2PSe
1.0
1.7076 -1.9900 0.0000
1.7076 1.9900 0.0000
0.0000 0.0000 10.5742
Si P Se
2 1 1
Direct
0.0000 0.0000 0.0000 Si
0.5000 0.5000 0.1988 Si
0.5000 0.5000 0.8160 P
0.0000 0.0000 0.4925 Se
```

Properties
**M_tot**: 0.00 μB/f.u.
**Density**: 3.84 Mg/m³
**Crystal system**: orthorhombic



## B
An optimized crystal structure of Si2PSe, computed with PBE.

```
Si2PSe
1.0
5.3150 -1.7056 0.0000
5.3150 1.7056 0.0000
-0.2966 0.0000 5.3266
Si P Se
2 1 1
Direct
0.0000 0.0000 0.0000 Si
0.5778 0.5778 0.7104 Si
0.3708 0.3708 0.8663 P
0.1191 0.1191 0.3853 Se
```

Properties
**M_tot**: 0.00 μB/f.u.
**Density**: 2.86 Mg/m³
**Crystal system**: monoclinic



Which one sits at the bottom of the stability order? A does.



## A
An optimized crystal structure of Sm2PSe, computed with PBE.

```
Sm2PSe
1.0
4.1191 0.0000 0.0000
0.0000 5.8449 0.0000
0.0000 0.0000 8.3658
Sm P Se
4 2 2
Direct
0.2500 0.2500 0.1118 Sm
0.2500 0.2500 0.6457 Sm
0.7500 0.7500 0.3543 Sm
0.7500 0.7500 0.8882 Sm
0.2500 0.7500 0.1248 P
0.7500 0.2500 0.8752 P
0.2500 0.7500 0.6207 Se
0.7500 0.2500 0.3793 Se
```

Properties
**M_tot**: 0.00 μB/f.u.
**Density**: 6.77 Mg/m³
**Crystal system**: orthorhombic



## B
An optimized crystal structure of Sm2PSe, computed with PBE.

```
Sm2PSe
1.0
4.0961 0.0000 0.0000
0.0000 7.0913 0.0000
0.0000 0.0000 7.1669
Sm P Se
4 2 2
Direct
0.2500 0.0030 0.2328 Sm
0.2500 0.4970 0.2328 Sm
0.7500 0.5030 0.7672 Sm
0.7500 0.9970 0.7672 Sm
0.2500 0.7500 0.9154 P
0.7500 0.2500 0.0846 P
0.2500 0.2500 0.5799 Se
0.7500 0.7500 0.4201 Se
```

Properties
**M_tot**: 0.00 μB/f.u.
**Density**: 6.55 Mg/m³
**Crystal system**: orthorhombic



## C
An optimized crystal structure of Sm2PSe, computed with PBE.

```
Sm2PSe
1.0
2.0295 1.1717 7.1501
-2.0295 1.1717 7.1501
0.0000 -2.3434 7.1501
Sm P Se
2 1 1
Direct
0.0000 0.0000 0.0000 Sm
0.1842 0.1842 0.1842 Sm
0.5934 0.5934 0.5934 P
0.4243 0.4243 0.4243 Se
```

Properties
**M_tot**: 0.00 μB/f.u.
**Density**: 6.68 Mg/m³
**Crystal system**: trigonal



Which one sits at the bottom of the stability order? B does.



## A
An optimized crystal structure of Sm3P2Se, computed with PBE.

```
Sm3P2Se
1.0
6.5703 -3.9005 0.0000
6.5703 3.9005 0.0000
0.0000 0.0000 7.8894
Sm P Se
6 4 2
Direct
0.0000 0.0000 0.0000 Sm
0.0000 0.0000 0.5000 Sm
0.0468 0.5188 0.7500 Sm
0.4812 0.9532 0.7500 Sm
0.5188 0.0468 0.2500 Sm
0.9532 0.4812 0.2500 Sm
0.2153 0.2153 0.0000 P
0.2153 0.2153 0.5000 P
0.7847 0.7847 0.0000 P
0.7847 0.7847 0.5000 P
0.2830 0.7170 0.7500 Se
0.7170 0.2830 0.2500 Se
```

Properties
**M_tot**: 0.00 μB/f.u.
**Density**: 4.86 Mg/m³
**Crystal system**: orthorhombic



## B
An optimized crystal structure of Sm3P2Se, computed with PBE.

```
Sm3P2Se
1.0
-2.0600 2.9239 6.2048
2.0600 -2.9239 6.2048
2.0600 2.9239 -6.2048
Sm P Se
3 2 1
Direct
0.0000 0.0000 0.0000 Sm
0.3239 0.3239 0.0000 Sm
0.6761 0.6761 0.0000 Sm
0.1647 0.6647 0.5000 P
0.8353 0.3353 0.5000 P
0.5000 0.0000 0.5000 Se
```

Properties
**M_tot**: 0.00 μB/f.u.
**Density**: 6.58 Mg/m³
**Crystal system**: orthorhombic



Which one sits at the bottom of the stability order? A does.



## A
An optimized crystal structure of Sr2PSe, computed with PBE.

```
Sr2PSe
1.0
4.8600 0.0000 0.0000
0.0000 1.9809 6.0392
0.0000 -1.9809 6.0392
Sr P Se
2 1 1
Direct
0.0000 0.0000 0.0000 Sr
0.5000 0.2468 0.2468 Sr
0.0000 0.7451 0.7451 P
0.5000 0.5074 0.5074 Se
```

Properties
**M_tot**: 0.71 μB/f.u.
**Density**: 4.07 Mg/m³
**Crystal system**: orthorhombic



## B
An optimized crystal structure of Sr2PSe, computed with PBE.

```
Sr2PSe
1.0
0.0000 3.7476 3.7476
3.7476 0.0000 3.7476
3.7476 3.7476 0.0000
Sr P Se
2 1 1
Direct
0.0000 0.0000 0.0000 Sr
0.2500 0.2500 0.2500 Sr
0.5000 0.5000 0.5000 P
0.7500 0.7500 0.7500 Se
```

Properties
**M_tot**: 0.00 μB/f.u.
**Density**: 4.50 Mg/m³
**Crystal system**: cubic



## C
An optimized crystal structure of Sr2PSe, computed with PBE.

```
Sr2PSe
1.0
0.0000 3.7855 3.7855
3.7855 0.0000 3.7855
3.7855 3.7855 0.0000
Sr P Se
2 1 1
Direct
0.2500 0.2500 0.2500 Sr
0.7500 0.7500 0.7500 Sr
0.0000 0.0000 0.0000 P
0.5000 0.5000 0.5000 Se
```

Properties
**M_tot**: 0.00 μB/f.u.
**Density**: 4.36 Mg/m³
**Crystal system**: cubic



## D
An optimized crystal structure of Sr2PSe, computed with PBE.

```
Sr2PSe
1.0
4.4231 0.0000 0.0000
0.0000 4.4231 0.0000
0.0000 0.0000 6.2758
Sr P Se
2 1 1
Direct
0.0000 0.0000 0.0000 Sr
0.5000 0.5000 0.5000 Sr
0.0000 0.0000 0.5000 P
0.5000 0.5000 0.0000 Se
```

Properties
**M_tot**: 0.53 μB/f.u.
**Density**: 3.86 Mg/m³
**Crystal system**: tetragonal



Which one sits at the bottom of the stability order? B does.